4
Lattice="4.353 0.000 0.000 0.000 3.906 0.000 0.000 0.000 3.906" Properties=species:S:1:pos:R:3 comment="RePt2Br PBE optimized geometry" e_above_lowest_polymorph_mev_per_atom=887 energy_ev_per_atom=-5.44 formation_energy_uncorrected_ev_per_fu=4.45 dos_at_fermi_per_ev_atom=1.543 pbc="T T T"
Re 2.177 1.953 0.000
Br 2.177 0.000 1.953
Pt 0.000 0.000 0.000
Pt 0.000 1.953 1.953